Entry 1:
RbHfNiIr2 GGA-PBE relaxed; spin magnetization = 0.004 μB per cell; DOS at the Fermi energy = 1.15 states/eV/atom; ΔH_f (0 K) = 0.96 eV/atom
1.0
4.8127 0.0000 0.0000
0.0000 4.8127 0.0000
0.0000 0.0000 4.5672
Rb Hf Ni Ir
1 1 1 2
Cartesian
0.0000 0.0000 0.0000
2.4064 2.4064 0.0000
2.4064 2.4064 2.2836
0.0000 2.4064 2.2836
2.4064 0.0000 2.2836

***

Entry 2:
HfNiIrRh GGA-PBE relaxed; spin magnetization = 0.000 μB per cell; DOS at the Fermi energy = 0.92 states/eV/atom; ΔH_f (0 K) = -0.69 eV/atom
1.0
3.8097 0.0000 0.0000
0.0000 3.9327 0.0000
0.0000 0.0000 3.9421
Hf Ni Ir Rh
1 1 1 1
Cartesian
0.0000 0.0000 0.0000
0.0000 1.9664 1.9710
1.9049 0.0000 1.9710
1.9049 1.9664 0.0000

***

Entry 3:
HfNiSb2Ir GGA-PBE relaxed; spin magnetization = 0.000 μB per cell; DOS at the Fermi energy = 1.07 states/eV/atom; formation energy (no corrections) = 1.3636 eV per atom
1.0
5.3507 0.0000 0.0000
0.0000 5.3507 0.0000
0.0000 0.0000 4.4926
Hf Ni Sb Ir
1 1 2 1
Cartesian
0.0000 0.0000 0.0000
0.0000 0.0000 2.2463
0.0000 2.6753 0.0000
2.6753 0.0000 0.0000
2.6753 2.6753 2.2463

***

Entry 4:
HfScNiIr GGA-PBE relaxed; spin magnetization = 0.000 μB per cell; DOS at the Fermi energy = 0.96 states/eV/atom; ΔH_f (0 K) = -0.77 eV/atom
1.0
0.0000 3.2248 3.2248
3.2248 0.0000 3.2248
3.2248 3.2248 0.0000
Hf Sc Ni Ir
1 1 1 1
Cartesian
0.0000 0.0000 0.0000
3.2248 3.2248 3.2248
1.6124 1.6124 1.6124
4.8372 4.8372 4.8372

***

Entry 5:
HfNi2IrSe GGA-PBE relaxed; spin magnetization = 0.000 μB per cell; DOS at the Fermi energy = 0.72 states/eV/atom; formation energy (no corrections) = 0.3808 eV per atom
1.0
4.2177 0.0000 0.0000
0.0000 4.2177 0.0000
0.0000 0.0000 4.9816
Hf Ni Ir Se
1 2 1 1
Cartesian
0.0000 0.0000 0.0000
0.0000 2.1088 2.4908
2.1088 0.0000 2.4908
2.1088 2.1088 0.0000
0.0000 0.0000 2.4908

***

Entry 6:
Hf2Si4NiIr3 GGA-PBE relaxed; spin magnetization = 0.000 μB per cell; DOS at the Fermi energy = 0.47 states/eV/atom; formation energy (no corrections) = -0.8202 eV per atom
1.0
3.7936 0.0000 0.0000
0.0000 3.7936 0.0000
0.0000 0.0000 10.6712
Hf Si Ni Ir
2 4 1 3
Cartesian
0.0000 1.8968 2.3655
1.8968 0.0000 8.3056
0.0000 0.0000 5.3356
0.0000 1.8968 9.2051
1.8968 0.0000 1.4660
1.8968 1.8968 5.3356
1.8968 1.8968 0.0000
0.0000 0.0000 0.0000
0.0000 1.8968 6.8448
1.8968 0.0000 3.8263

***

Entry 7:
TbHfNiIr GGA-PBE relaxed; spin magnetization = 0.000 μB per cell; DOS at the Fermi energy = 1.02 states/eV/atom; ΔH_f (0 K) = -0.59 eV/atom
1.0
0.0000 3.3302 3.3302
3.3302 0.0000 3.3302
3.3302 3.3302 0.0000
Tb Hf Ni Ir
1 1 1 1
Cartesian
0.0000 0.0000 0.0000
3.3302 3.3302 3.3302
4.9953 4.9953 4.9953
1.6651 1.6651 1.6651

***

Entry 8:
YHfNiIr GGA-PBE relaxed; spin magnetization = 0.000 μB per cell; DOS at the Fermi energy = 1.00 states/eV/atom; ΔH_f (0 K) = -0.60 eV/atom
1.0
0.0000 3.3268 3.3268
3.3268 0.0000 3.3268
3.3268 3.3268 0.0000
Y Hf Ni Ir
1 1 1 1
Cartesian
0.0000 0.0000 0.0000
3.3268 3.3268 3.3268
1.6634 1.6634 1.6634
4.9902 4.9902 4.9902

***

Entry 9:
HfZnNiIr GGA-PBE relaxed; spin magnetization = 0.000 μB per cell; DOS at the Fermi energy = 0.39 states/eV/atom; ΔH_f (0 K) = -0.59 eV/atom
1.0
-2.0599 2.0599 3.5359
2.0599 -2.0599 3.5359
2.0599 2.0599 -3.5359
Hf Zn Ni Ir
1 1 1 1
Cartesian
0.0000 0.0000 0.0000
0.0000 0.0000 3.5359
2.0599 0.0000 1.7680
0.0000 2.0599 1.7680

***

Entry 10:
HfZnNiIr GGA-PBE relaxed; spin magnetization = 0.000 μB per cell; DOS at the Fermi energy = 0.72 states/eV/atom; ΔH_f (0 K) = -0.57 eV/atom
1.0
0.0000 3.1148 3.1148
3.1148 0.0000 3.1148
3.1148 3.1148 0.0000
Hf Zn Ni Ir
1 1 1 1
Cartesian
0.0000 0.0000 0.0000
3.1148 3.1148 3.1148
1.5574 1.5574 1.5574
4.6722 4.6722 4.6722

***

Entry 11:
HfZrNiIr GGA-PBE relaxed; spin magnetization = 0.000 μB per cell; DOS at the Fermi energy = 0.65 states/eV/atom; ΔH_f (0 K) = -0.66 eV/atom
1.0
0.0000 3.2532 3.2532
3.2532 0.0000 3.2532
3.2532 3.2532 0.0000
Hf Zr Ni Ir
1 1 1 1
Cartesian
0.0000 0.0000 0.0000
3.2532 3.2532 3.2532
4.8798 4.8798 4.8798
1.6266 1.6266 1.6266

***

Entry 12:
HfNpIr6 GGA-PBE relaxed; spin magnetization = 1.003 μB per cell; DOS at the Fermi energy = 1.07 states/eV/atom; ΔH_f (0 K) = -0.60 eV/atom
1.0
5.6574 0.0000 0.0000
0.0000 5.6574 0.0000
0.0000 0.0000 4.0026
Hf Np Ir
1 1 6
Cartesian
0.0000 0.0000 0.0000
2.8287 2.8287 0.0000
0.0000 2.8287 0.0000
1.4261 1.4261 2.0013
1.4261 4.2313 2.0013
2.8287 0.0000 0.0000
4.2313 1.4261 2.0013
4.2313 4.2313 2.0013

***

Entry 13:
HfNpIr2 GGA-PBE relaxed; spin magnetization = 3.458 μB per cell; DOS at the Fermi energy = 1.49 states/eV/atom; ΔH_f (0 K) = -0.52 eV/atom
1.0
4.9323 0.0000 0.0000
0.0000 4.9323 0.0000
0.0000 0.0000 3.0734
Hf Np Ir
1 1 2
Cartesian
0.0000 0.0000 0.0000
2.4662 2.4662 0.0000
0.0000 2.4662 1.5367
2.4662 0.0000 1.5367

***

Entry 14:
HfNpIr2 GGA-PBE relaxed; spin magnetization = 3.570 μB per cell; DOS at the Fermi energy = 1.86 states/eV/atom; ΔH_f (0 K) = -0.48 eV/atom
1.0
0.0000 3.3503 3.3503
3.3503 0.0000 3.3503
3.3503 3.3503 0.0000
Hf Np Ir
1 1 2
Cartesian
0.0000 0.0000 0.0000
3.3503 3.3503 3.3503
1.6751 1.6751 1.6751
5.0254 5.0254 5.0254

***

Entry 15:
HfNpIr4 GGA-PBE relaxed; spin magnetization = 3.563 μB per cell; DOS at the Fermi energy = 1.71 states/eV/atom; ΔH_f (0 K) = -0.52 eV/atom
1.0
0.0000 3.7402 3.7402
3.7402 0.0000 3.7402
3.7402 3.7402 0.0000
Hf Np Ir
1 1 4
Cartesian
0.0000 0.0000 0.0000
1.8701 1.8701 1.8701
4.6763 2.8042 2.8042
2.8042 4.6763 2.8042
2.8042 2.8042 4.6763
4.6763 4.6763 4.6763

***

Entry 16:
HfNpIr2 GGA-PBE relaxed; spin magnetization = 3.282 μB per cell; DOS at the Fermi energy = 1.63 states/eV/atom; ΔH_f (0 K) = -0.57 eV/atom
1.0
3.1066 0.0000 0.0000
0.0000 3.1066 0.0000
0.0000 0.0000 7.6646
Hf Np Ir
1 1 2
Cartesian
0.0000 0.0000 0.0000
0.0000 0.0000 3.8323
1.5533 1.5533 1.7063
1.5533 1.5533 5.9583

***

Entry 17:
HfNpIr2 GGA-PBE relaxed; spin magnetization = 2.880 μB per cell; DOS at the Fermi energy = 1.66 states/eV/atom; ΔH_f (0 K) = -0.39 eV/atom
1.0
1.9628 1.1332 6.1706
-1.9628 1.1332 6.1706
0.0000 -2.2664 6.1706
Hf Np Ir
1 1 2
Cartesian
0.0000 0.0000 0.0000
0.0000 0.0000 9.2560
0.0000 0.0000 4.6683
0.0000 0.0000 13.8436

***

Entry 18:
HfNpIrOs GGA-PBE relaxed; spin magnetization = 3.357 μB per cell; DOS at the Fermi energy = 1.44 states/eV/atom; ΔH_f (0 K) = -0.31 eV/atom
1.0
0.0000 3.3368 3.3368
3.3368 0.0000 3.3368
3.3368 3.3368 0.0000
Hf Np Ir Os
1 1 1 1
Cartesian
0.0000 0.0000 0.0000
3.3368 3.3368 3.3368
1.6684 1.6684 1.6684
5.0053 5.0053 5.0053

***

Entry 19:
HfNpIrRu GGA-PBE relaxed; spin magnetization = 3.325 μB per cell; DOS at the Fermi energy = 1.45 states/eV/atom; ΔH_f (0 K) = -0.40 eV/atom
1.0
0.0000 3.3312 3.3312
3.3312 0.0000 3.3312
3.3312 3.3312 0.0000
Hf Np Ir Ru
1 1 1 1
Cartesian
0.0000 0.0000 0.0000
3.3312 3.3312 3.3312
1.6656 1.6656 1.6656
4.9968 4.9968 4.9968

***

Entry 20:
HfNpSnIr GGA-PBE relaxed; spin magnetization = 5.813 μB per cell; DOS at the Fermi energy = 3.13 states/eV/atom; ΔH_f (0 K) = 0.15 eV/atom
1.0
0.0000 3.4649 3.4649
3.4649 0.0000 3.4649
3.4649 3.4649 0.0000
Hf Np Sn Ir
1 1 1 1
Cartesian
0.0000 0.0000 0.0000
1.7324 1.7324 1.7324
3.4649 3.4649 3.4649
5.1973 5.1973 5.1973

***

Entry 21:
HfNpTcIr GGA-PBE relaxed; spin magnetization = 3.411 μB per cell; DOS at the Fermi energy = 1.06 states/eV/atom; ΔH_f (0 K) = -0.35 eV/atom
1.0
0.0000 3.3299 3.3299
3.3299 0.0000 3.3299
3.3299 3.3299 0.0000
Hf Np Tc Ir
1 1 1 1
Cartesian
0.0000 0.0000 0.0000
3.3299 3.3299 3.3299
4.9948 4.9948 4.9948
1.6649 1.6649 1.6649

***

Entry 22:
HfNpTiIr GGA-PBE relaxed; spin magnetization = 3.491 μB per cell; DOS at the Fermi energy = 3.20 states/eV/atom; ΔH_f (0 K) = -0.03 eV/atom
1.0
0.0000 3.3039 3.3039
3.3039 0.0000 3.3039
3.3039 3.3039 0.0000
Hf Np Ti Ir
1 1 1 1
Cartesian
0.0000 0.0000 0.0000
1.6519 1.6519 1.6519
3.3039 3.3039 3.3039
4.9558 4.9558 4.9558

***

Entry 23:
Hf3IrO GGA-PBE relaxed; spin magnetization = 0.000 μB per cell; DOS at the Fermi energy = 0.57 states/eV/atom; formation energy (no corrections) = -1.3952 eV per atom
1.0
5.6578 -1.6059 0.0000
5.6578 1.6059 0.0000
-4.7725 0.0000 9.3738
Hf Ir O
6 2 2
Cartesian
0.0000 0.0000 0.0000
-2.5026 0.0000 5.0180
-1.7657 0.0000 8.3494
2.1836 0.0000 2.1318
5.1419 0.0000 2.8080
5.4892 0.0000 6.3356
0.9731 0.0000 4.4814
2.0000 0.0000 7.2787
4.2973 0.0000 0.7233
9.2020 0.0000 2.7939

***

Entry 24:
Hf3IrO GGA-PBE relaxed; spin magnetization = 0.000 μB per cell; DOS at the Fermi energy = 0.84 states/eV/atom; formation energy (no corrections) = 0.2547 eV per atom
1.0
-2.5107 2.5107 9.4260
2.5107 -2.5107 9.4260
2.5107 2.5107 -9.4260
Hf Ir O
6 2 2
Cartesian
0.0000 0.0000 3.8890
2.5107 1.2613 2.2449
1.2613 2.5107 -2.2449
1.2494 0.0000 7.1811
0.0000 0.0000 14.9629
0.0000 1.2494 11.6708
2.5107 0.0000 4.7130
0.0000 0.0000 9.4260
0.0000 2.5107 3.0887
0.0000 2.5107 6.3372

***

Entry 25:
Hf3IrO GGA-PBE relaxed; spin magnetization = 0.000 μB per cell; DOS at the Fermi energy = 0.37 states/eV/atom; formation energy (no corrections) = -1.3848 eV per atom
1.0
5.7226 -4.8088 0.0000
5.7226 4.8088 0.0000
-1.8142 0.0000 6.1707
Hf Ir O
12 4 4
Cartesian
3.2236 3.1325 2.5843
2.3783 3.1860 5.7736
6.3456 3.1860 3.4824
7.3145 3.1325 0.5010
3.2329 0.0141 2.6069
2.3258 -0.0141 5.6923
7.3052 0.0141 0.4784
6.3981 -0.0141 3.5637
2.3165 -3.1325 5.6696
3.2854 -3.1860 2.6882
7.2527 -3.1860 0.3971
6.4074 -3.1325 3.5864
4.3620 4.7822 4.6280
4.3620 1.6105 4.6280
5.2691 -1.6105 1.5427
5.2691 -4.7822 1.5427
3.6751 1.5996 1.0271
6.8630 1.5996 2.0582
2.7680 -1.5996 4.1124
5.9559 -1.5996 5.1436

***

Entry 26:
Hf3IrO GGA-PBE relaxed; spin magnetization = 0.000 μB per cell; DOS at the Fermi energy = 0.63 states/eV/atom; formation energy (no corrections) = -1.0980 eV per atom
1.0
2.8820 1.6639 6.2341
-2.8820 1.6639 6.2341
0.0000 -3.3278 6.2341
Hf Ir O
6 2 2
Cartesian
-1.9362 -0.0345 7.5034
-0.9382 -1.6940 11.1990
0.9979 -1.6595 7.5034
-0.9979 1.6595 11.1990
0.9382 1.6940 7.5034
1.9362 0.0345 11.1990
0.0000 0.0000 3.0520
0.0000 0.0000 15.6504
0.0000 0.0000 6.3726
0.0000 0.0000 12.3298

***

Entry 27:
Hf3IrO GGA-PBE relaxed; spin magnetization = 0.000 μB per cell; DOS at the Fermi energy = 0.61 states/eV/atom; formation energy (no corrections) = -1.3555 eV per atom
1.0
7.8907 0.0000 0.0000
0.0000 5.5723 0.0000
-3.3131 0.0000 7.6389
Hf Ir O
12 4 4
Cartesian
-0.6638 0.5218 2.6306
-2.3204 2.2643 6.4501
-0.2535 3.2348 4.1917
1.4030 5.1237 0.3723
0.3984 0.5999 5.9333
2.0549 2.1863 2.1138
2.5227 3.3860 5.5251
4.1792 4.9725 1.7056
3.1746 0.4486 7.2666
4.8311 2.3376 3.4471
6.8980 3.3080 1.1888
5.2414 5.0505 5.0082
0.0019 3.6432 6.8307
1.6585 4.7153 3.0112
2.9191 0.8570 4.6276
4.5757 1.9291 0.8082
-1.3897 1.2761 4.6016
0.2669 1.5101 0.7822
4.3107 4.0623 6.8567
5.9673 4.2962 3.0373